Material: TaTl2W
Method: DFT, GGA-PBEsol
State: relaxed

Cell: 5.128 5.128 4.977 Å, 101.31 101.31 36.75°
Element x y z (fractional)
Ta (0.000, 0.000, 0.000)
Tl (0.247, 0.247, 0.746)
Tl (0.753, 0.753, 0.254)
W (0.500, 0.500, 0.500)

Computed properties:
**M_tot**: 0.0 μB/cell
**ΔH_f (0 K)**: 74 kJ/mol of atoms
**Raw total energy**: -7.1413 eV/atom

Material: HfV2
Method: DFT, GGA-PBEsol
State: relaxed

Cell: 5.099 5.099 5.099 Å, 60.00 60.00 60.00°
Element x y z (fractional)
Hf (0.125, 0.125, 0.125)
Hf (0.875, 0.875, 0.875)
V (0.000, 0.500, 0.500)
V (0.500, 0.000, 0.500)
V (0.500, 0.500, 0.000)
V (0.500, 0.500, 0.500)

Computed properties:
**M_tot**: 0.0 μB/cell
**ΔH_f (0 K)**: 3 kJ/mol of atoms
**Raw total energy**: -9.8934 eV/atom

Material: TeMoW2F
Method: DFT, GGA-PBEsol
State: relaxed

Cell: 4.050 4.050 4.945 Å, 90.00 90.00 90.00°
Element x y z (fractional)
Te (0.000, 0.000, 0.000)
Mo (0.500, 0.500, 0.000)
W (0.000, 0.500, 0.500)
W (0.500, 0.000, 0.500)
F (0.000, 0.000, 0.500)

Computed properties:
**M_tot**: 1.0 μB/cell
**Formation energy from raw total energies**: 1.038 eV per atom
**Raw total energy**: -7.9288 eV/atom

Material: Tc2PAu
Method: DFT, GGA-PBEsol
State: relaxed

Cell: 2.901 2.901 6.606 Å, 90.00 90.00 90.00°
Element x y z (fractional)
Tc (0.000, 0.000, 0.200)
Tc (0.000, 0.000, 0.800)
P (0.500, 0.500, 0.000)
Au (0.500, 0.500, 0.500)

Computed properties:
**M_tot**: 0.0 μB/cell
**ΔH_f (0 K)**: -17 kJ/mol of atoms
**Raw total energy**: -8.2367 eV/atom

Material: Ta2Cr3Cu
Method: DFT, GGA-PBEsol
State: relaxed

Cell: 4.720 4.720 8.250 Å, 90.00 90.00 120.00°
Element x y z (fractional)
Ta (0.333, 0.667, 0.066)
Ta (0.333, 0.667, 0.434)
Ta (0.667, 0.333, 0.566)
Ta (0.667, 0.333, 0.934)
Cr (0.171, 0.342, 0.750)
Cr (0.171, 0.829, 0.750)
Cr (0.342, 0.171, 0.250)
Cr (0.658, 0.829, 0.750)
Cr (0.829, 0.171, 0.250)
Cr (0.829, 0.658, 0.250)
Cu (0.000, 0.000, 0.000)
Cu (0.000, 0.000, 0.500)

Computed properties:
**M_tot**: 0.0 μB/cell
**ΔH_f (0 K)**: -3 kJ/mol of atoms
**Raw total energy**: -10.0543 eV/atom

Material: MgBeGa3
Method: DFT, GGA-PBEsol
State: relaxed

Cell: 4.500 4.500 4.500 Å, 90.00 90.00 90.00°
Element x y z (fractional)
Mg (0.000, 0.000, 0.000)
Be (0.500, 0.500, 0.500)
Ga (0.000, 0.500, 0.500)
Ga (0.500, 0.000, 0.500)
Ga (0.500, 0.500, 0.000)

Computed properties:
**M_tot**: 0.0 μB/cell
**ΔH_f (0 K)**: 21 kJ/mol of atoms
**Raw total energy**: -2.9316 eV/atom

Material: Cd5Pt3
Method: DFT, GGA-PBEsol
State: relaxed

Cell: 7.969 7.969 5.357 Å, 90.00 90.00 120.00°
Element x y z (fractional)
Cd (0.000, 0.248, 0.250)
Cd (0.000, 0.752, 0.750)
Cd (0.248, 0.000, 0.250)
Cd (0.248, 0.248, 0.750)
Cd (0.333, 0.667, 0.000)
Cd (0.333, 0.667, 0.500)
Cd (0.667, 0.333, 0.000)
Cd (0.667, 0.333, 0.500)
Cd (0.752, 0.000, 0.750)
Cd (0.752, 0.752, 0.250)
Pt (0.000, 0.391, 0.750)
Pt (0.000, 0.609, 0.250)
Pt (0.391, 0.000, 0.750)
Pt (0.391, 0.391, 0.250)
Pt (0.609, 0.000, 0.250)
Pt (0.609, 0.609, 0.750)

Computed properties:
**M_tot**: 0.0 μB/cell
**ΔH_f (0 K)**: -19 kJ/mol of atoms
**Raw total energy**: -3.5570 eV/atom

Material: KSrAs2
Method: DFT, GGA-PBEsol
State: relaxed

Cell: 4.722 4.722 4.519 Å, 90.00 90.00 90.00°
Element x y z (fractional)
K (0.000, 0.000, 0.000)
Sr (0.500, 0.500, 0.000)
As (0.000, 0.500, 0.500)
As (0.500, 0.000, 0.500)

Computed properties:
**M_tot**: 0.0 μB/cell
**ΔH_f (0 K)**: -48 kJ/mol of atoms
**Raw total energy**: -3.7953 eV/atom

Material: Zr6Zn23Si
Method: DFT, GGA-PBEsol
State: relaxed

Cell: 8.620 8.620 8.620 Å, 60.00 60.00 60.00°
Element x y z (fractional)
Zr (0.212, 0.212, 0.788)
Zr (0.212, 0.788, 0.212)
Zr (0.212, 0.788, 0.788)
Zr (0.788, 0.212, 0.212)
Zr (0.788, 0.212, 0.788)
Zr (0.788, 0.788, 0.212)
Zn (0.000, 0.000, 0.500)
Zn (0.000, 0.500, 0.000)
Zn (0.000, 0.500, 0.500)
Zn (0.128, 0.624, 0.624)
Zn (0.165, 0.165, 0.165)
Zn (0.165, 0.165, 0.506)
Zn (0.165, 0.506, 0.165)
Zn (0.376, 0.376, 0.376)
Zn (0.376, 0.376, 0.872)
Zn (0.376, 0.872, 0.376)
Zn (0.494, 0.835, 0.835)
Zn (0.500, 0.000, 0.000)
Zn (0.500, 0.000, 0.500)
Zn (0.500, 0.500, 0.000)
Zn (0.500, 0.500, 0.500)
Zn (0.506, 0.165, 0.165)
Zn (0.624, 0.128, 0.624)
Zn (0.624, 0.624, 0.128)
Zn (0.624, 0.624, 0.624)
Zn (0.835, 0.494, 0.835)
Zn (0.835, 0.835, 0.494)
Zn (0.835, 0.835, 0.835)
Zn (0.872, 0.376, 0.376)
Si (0.000, 0.000, 0.000)

Computed properties:
**M_tot**: 0.0 μB/cell
**Formation energy from raw total energies**: -0.324 eV per atom
**Raw total energy**: -3.5460 eV/atom

Material: YZrZn
Method: DFT, GGA-PBEsol
State: relaxed

Cell: 4.797 4.797 3.346 Å, 90.00 90.00 120.00°
Element x y z (fractional)
Y (0.000, 0.000, 0.000)
Zr (0.333, 0.667, 0.525)
Zn (0.667, 0.333, 0.437)

Computed properties:
**M_tot**: 0.0 μB/cell
**ΔH_f (0 K)**: 3 kJ/mol of atoms
**Raw total energy**: -5.7975 eV/atom

Material: SnS2O6F2
Method: DFT, GGA-PBEsol
State: relaxed

Cell: 5.277 9.549 13.912 Å, 90.00 109.54 90.00°
Element x y z (fractional)
Sn (0.016, 0.189, 0.178)
Sn (0.016, 0.311, 0.678)
Sn (0.984, 0.689, 0.322)
Sn (0.984, 0.811, 0.822)
S (0.162, 0.188, 0.938)
S (0.162, 0.312, 0.438)
S (0.463, 0.023, 0.694)
S (0.463, 0.477, 0.194)
S (0.537, 0.523, 0.806)
S (0.537, 0.977, 0.306)
S (0.838, 0.688, 0.562)
S (0.838, 0.812, 0.062)
O (0.017, 0.060, 0.903)
O (0.017, 0.440, 0.403)
O (0.124, 0.202, 0.362)
O (0.124, 0.298, 0.862)
O (0.155, 0.241, 0.035)
O (0.155, 0.259, 0.535)
O (0.257, 0.101, 0.720)
O (0.257, 0.399, 0.220)
O (0.324, 0.602, 0.823)
O (0.324, 0.898, 0.323)
O (0.452, 0.100, 0.239)
O (0.452, 0.400, 0.739)
O (0.548, 0.600, 0.261)
O (0.548, 0.900, 0.761)
O (0.676, 0.102, 0.677)
O (0.676, 0.398, 0.177)
O (0.743, 0.601, 0.780)
O (0.743, 0.899, 0.280)
O (0.845, 0.741, 0.465)
O (0.845, 0.759, 0.965)
O (0.876, 0.702, 0.138)
O (0.876, 0.798, 0.638)
O (0.983, 0.560, 0.597)
O (0.983, 0.940, 0.097)
F (0.306, 0.545, 0.087)
F (0.306, 0.955, 0.587)
F (0.471, 0.146, 0.964)
F (0.471, 0.354, 0.464)
F (0.529, 0.646, 0.536)
F (0.529, 0.854, 0.036)
F (0.694, 0.045, 0.413)
F (0.694, 0.455, 0.913)

Computed properties:
**M_tot**: 0.0 μB/cell
**Formation energy from raw total energies**: -1.510 eV per atom
**Raw total energy**: -5.9077 eV/atom

Material: SrLi4In
Method: DFT, GGA-PBEsol
State: relaxed

Cell: 5.701 5.701 5.701 Å, 60.00 60.00 60.00°
Element x y z (fractional)
Sr (0.000, 0.000, 0.000)
Li (0.378, 0.378, 0.378)
Li (0.378, 0.378, 0.866)
Li (0.378, 0.866, 0.378)
Li (0.866, 0.378, 0.378)
In (0.750, 0.750, 0.750)

Computed properties:
**M_tot**: 0.0 μB/cell
**ΔH_f (0 K)**: -17 kJ/mol of atoms
**Raw total energy**: -2.2882 eV/atom

Material: LaIrW2
Method: DFT, GGA-PBEsol
State: relaxed

Cell: 2.800 2.800 9.188 Å, 90.00 90.00 90.00°
Element x y z (fractional)
La (0.000, 0.000, 0.000)
Ir (0.000, 0.000, 0.500)
W (0.500, 0.500, 0.293)
W (0.500, 0.500, 0.707)

Computed properties:
**M_tot**: 0.0 μB/cell
**ΔH_f (0 K)**: 36 kJ/mol of atoms
**Raw total energy**: -10.3200 eV/atom

Material: AlSb2W
Method: DFT, GGA-PBEsol
State: relaxed

Cell: 3.284 3.284 7.498 Å, 90.00 90.00 90.00°
Element x y z (fractional)
Al (0.000, 0.000, 0.000)
Sb (0.500, 0.500, 0.281)
Sb (0.500, 0.500, 0.719)
W (0.000, 0.000, 0.500)

Computed properties:
**M_tot**: 0.0 μB/cell
**Formation energy from raw total energies**: 0.363 eV per atom
**Raw total energy**: -6.3900 eV/atom

Material: NbP2AuS
Method: DFT, GGA-PBEsol
State: relaxed

Cell: 4.817 4.817 4.602 Å, 90.00 90.00 90.00°
Element x y z (fractional)
Nb (0.000, 0.000, 0.000)
P (0.000, 0.500, 0.000)
P (0.500, 0.000, 0.000)
Au (0.500, 0.500, 0.500)
S (0.000, 0.000, 0.500)

Computed properties:
**M_tot**: 0.0 μB/cell
**Formation energy from raw total energies**: 0.509 eV per atom
**Raw total energy**: -5.6334 eV/atom

Material: LaNb2Ir2
Method: DFT, GGA-PBEsol
State: relaxed

Cell: 6.105 6.105 6.105 Å, 137.07 137.07 62.33°
Element x y z (fractional)
La (0.000, 0.000, 0.000)
Nb (0.250, 0.750, 0.500)
Nb (0.750, 0.250, 0.500)
Ir (0.373, 0.373, 0.000)
Ir (0.627, 0.627, 0.000)

Computed properties:
**M_tot**: 0.0 μB/cell
**ΔH_f (0 K)**: -46 kJ/mol of atoms
**Raw total energy**: -9.8056 eV/atom

Material: YAlP2
Method: DFT, GGA-PBEsol
State: relaxed

Cell: 3.525 3.525 5.576 Å, 90.00 90.00 90.00°
Element x y z (fractional)
Y (0.000, 0.000, 0.000)
Al (0.000, 0.000, 0.500)
P (0.500, 0.500, 0.282)
P (0.500, 0.500, 0.718)

Computed properties:
**M_tot**: 0.0 μB/cell
**ΔH_f (0 K)**: -56 kJ/mol of atoms
**Raw total energy**: -6.2053 eV/atom

Material: Pr4CoI5
Method: DFT, GGA-PBEsol
State: relaxed

Cell: 9.882 9.882 8.985 Å, 103.04 103.04 23.77°
Element x y z (fractional)
Pr (0.000, 0.000, 0.204)
Pr (0.000, 0.000, 0.796)
Pr (0.352, 0.352, 0.923)
Pr (0.648, 0.648, 0.077)
Co (0.500, 0.500, 0.000)
I (0.169, 0.169, 0.356)
I (0.174, 0.174, 0.816)
I (0.500, 0.500, 0.500)
I (0.826, 0.826, 0.184)
I (0.831, 0.831, 0.644)

Computed properties:
**M_tot**: 0.0 μB/cell
**Formation energy from raw total energies**: -1.055 eV per atom
**Raw total energy**: -4.7858 eV/atom

Material: CsAs2AuBr
Method: DFT, GGA-PBEsol
State: relaxed

Cell: 4.959 4.959 6.448 Å, 90.00 90.00 90.00°
Element x y z (fractional)
Cs (0.000, 0.000, 0.000)
As (0.000, 0.500, 0.500)
As (0.500, 0.000, 0.500)
Au (0.500, 0.500, 0.500)
Br (0.500, 0.500, 0.000)

Computed properties:
**M_tot**: 1.8 μB/cell
**Formation energy from raw total energies**: 0.037 eV per atom
**Raw total energy**: -3.3531 eV/atom

Material: GeIO2
Method: DFT, GGA-PBEsol
State: relaxed

Cell: 9.014 9.014 9.014 Å, 21.57 21.57 21.57°
Element x y z (fractional)
Ge (0.000, 0.000, 0.000)
I (0.500, 0.500, 0.500)
O (0.062, 0.062, 0.062)
O (0.938, 0.938, 0.938)

Computed properties:
**M_tot**: 0.0 μB/cell
**Formation energy from raw total energies**: -0.007 eV per atom
**Raw total energy**: -4.3082 eV/atom